A relaxed KSiBSb2 crystal, computed with PBEsol.

Values from the calculation:
- Space group: No. 123
- Electronic total energy: -20.13 eV/cell
- Size of the total moment: 0.00 μB/atom

abc: 5.621 5.621 3.696
angles: 90.00 90.00 90.00
Element x y z (fractional)
K 0.000 0.000 0.000
Si 0.500 0.500 0.000
B 0.500 0.500 0.500
Sb 0.000 0.500 0.500
Sb 0.500 0.000 0.500